# 1
Here is a relaxed PaRe2W crystal from Alexandria. Energies are from PBE.

Cell: 4.6654 4.6654 4.6654 Å, 60.00 60.00 60.00°
Atoms (fractional coordinates):
Pa  0.0000  0.0000  0.0000
Re  0.2500  0.2500  0.2500
Re  0.7500  0.7500  0.7500
W  0.5000  0.5000  0.5000

Output
For the energy relative to the elements, the calculation gives 0.244 eV/atom. The calculation puts the energy above the most stable polymorph in this dataset at 4.461 kcal/mol of atoms.

# 2
Here is a relaxed SrLi2CuAu crystal from Alexandria. Energies are from PBE.

Cell: 4.7169 4.7169 5.0788 Å, 90.00 90.00 90.00°
Atoms (fractional coordinates):
Sr  0.0000  0.0000  0.0000
Li  0.0000  0.5000  0.5000
Li  0.5000  0.0000  0.5000
Cu  0.5000  0.5000  0.5000
Au  0.5000  0.5000  0.0000

Output
For the energy relative to the elements, the calculation gives -0.171 eV/atom. The calculation puts the energy above the most stable polymorph in this dataset at 0.000 kcal/mol of atoms.

# 3
Here is a relaxed KAgAsRh crystal from Alexandria. Energies are from PBE.

Cell: 4.0114 4.0114 12.3825 Å, 90.00 90.00 90.00°
Atoms (fractional coordinates):
K  0.2500  0.2500  0.2341
K  0.7500  0.7500  0.7659
Ag  0.2500  0.7500  0.0000
Ag  0.7500  0.2500  0.0000
As  0.2500  0.2500  0.6136
As  0.7500  0.7500  0.3864
Rh  0.2500  0.7500  0.5000
Rh  0.7500  0.2500  0.5000

Output
For the energy relative to the elements, the calculation gives -0.358 eV/atom.

# 4
Here is a relaxed LaTeOs2 crystal from Alexandria. Energies are from PBE.

Cell: 4.0086 3.9352 6.2638 Å, 90.00 103.55 90.00°
Atoms (fractional coordinates):
La  0.0000  0.0000  0.0000
Te  0.5925  0.5000  0.3036
Os  0.1048  0.5000  0.6481
Os  0.4238  0.0000  0.5945

Output
For the uncorrected formation energy, the calculation gives 14 kJ/mol of atoms.

# 5
Here is a relaxed InBiI2 crystal from Alexandria. Energies are from PBE.

Cell: 11.0439 11.0439 11.0439 Å, 149.12 149.12 44.23°
Atoms (fractional coordinates):
In  0.0000  0.0000  0.0000
In  0.7500  0.2500  0.5000
Bi  0.2500  0.7500  0.5000
Bi  0.5000  0.5000  0.0000
I  0.1539  0.6250  0.0289
I  0.3750  0.4039  0.5289
I  0.5961  0.1250  0.9711
I  0.8750  0.8461  0.4711

Output
The calculation puts the energy above the most stable polymorph in this dataset at 0.000 kcal/mol of atoms. For the uncorrected formation energy, the calculation gives 0 kJ/mol of atoms.

# 6
Here is a relaxed K2CaMo crystal from Alexandria. Energies are from PBE.

Cell: 3.6745 3.6745 12.5443 Å, 90.00 90.00 90.00°
Atoms (fractional coordinates):
K  0.0000  0.0000  0.2137
K  0.0000  0.0000  0.7863
Ca  0.5000  0.5000  0.5000
Mo  0.5000  0.5000  0.0000

Output
For the energy relative to the elements, the calculation gives 1.233 eV/atom. The calculation puts the energy above the most stable polymorph in this dataset at 6.640 kcal/mol of atoms.

# 7
Here is a relaxed Li6CaBr8 crystal from Alexandria. Energies are from PBE.

Cell: 7.9253 7.9253 7.9253 Å, 60.00 60.00 60.00°
Atoms (fractional coordinates):
Li  0.0000  0.0000  0.5000
Li  0.0000  0.5000  0.0000
Li  0.0000  0.5000  0.5000
Li  0.5000  0.0000  0.0000
Li  0.5000  0.0000  0.5000
Li  0.5000  0.5000  0.0000
Ca  0.0000  0.0000  0.0000
Br  0.2500  0.2500  0.2500
Br  0.2542  0.2542  0.7458
Br  0.2542  0.7458  0.2542
Br  0.2542  0.7458  0.7458
Br  0.7458  0.2542  0.2542
Br  0.7458  0.2542  0.7458
Br  0.7458  0.7458  0.2542
Br  0.7500  0.7500  0.7500

Output
For the uncorrected formation energy, the calculation gives -155 kJ/mol of atoms.

# 8
Here is a relaxed Ac8TeRh3I4 crystal from Alexandria. Energies are from PBE.

Cell: 10.0191 10.0191 10.0191 Å, 53.88 53.88 53.88°
Atoms (fractional coordinates):
Ac  0.2004  0.7452  0.7452
Ac  0.2285  0.2285  0.2285
Ac  0.2548  0.2548  0.7996
Ac  0.2548  0.7996  0.2548
Ac  0.7452  0.2004  0.7452
Ac  0.7452  0.7452  0.2004
Ac  0.7715  0.7715  0.7715
Ac  0.7996  0.2548  0.2548
Te  0.5000  0.5000  0.5000
Rh  0.0000  0.0000  0.5000
Rh  0.0000  0.5000  0.0000
Rh  0.5000  0.0000  0.0000
I  0.0000  0.0000  0.0000
I  0.0000  0.5000  0.5000
I  0.5000  0.0000  0.5000
I  0.5000  0.5000  0.0000

Output
For the uncorrected formation energy, the calculation gives -98 kJ/mol of atoms.

# 9
Here is a relaxed RuPt crystal from Alexandria. Energies are from PBE.

Cell: 3.6491 3.6491 3.6491 Å, 60.00 60.00 60.00°
Atoms (fractional coordinates):
Ru  0.0000  0.0000  0.0000
Pt  0.5000  0.5000  0.5000

Output
For the energy relative to the elements, the calculation gives 0.903 eV/atom.

# 10
Here is a relaxed Tb3SmDy6Y2 crystal from Alexandria. Energies are from PBE.

Cell: 6.1606 6.1606 11.7980 Å, 94.96 94.96 119.95°
Atoms (fractional coordinates):
Tb  0.0000  0.0000  0.0000
Tb  0.3331  0.6669  0.0000
Tb  0.6669  0.3331  0.0000
Sm  0.5000  0.5000  0.5000
Dy  0.0827  0.4157  0.2490
Dy  0.2511  0.2511  0.7510
Dy  0.4157  0.0827  0.2490
Dy  0.5843  0.9173  0.7510
Dy  0.7489  0.7489  0.2490
Dy  0.9173  0.5843  0.7510
Y  0.1667  0.8333  0.5000
Y  0.8333  0.1667  0.5000

Output
For the energy relative to the elements, the calculation gives 0.016 eV/atom.

# 11
Here is a relaxed Mg2TeMo crystal from Alexandria. Energies are from PBE.

Cell: 5.6093 5.6093 5.6093 Å, 143.34 128.58 64.80°
Atoms (fractional coordinates):
Mg  0.0000  0.0000  0.0000
Mg  0.7349  0.2349  0.5000
Te  0.4671  0.4671  0.0000
Mo  0.2520  0.7520  0.5000

Output
For the uncorrected formation energy, the calculation gives 20 kJ/mol of atoms.

# 12
Here is a relaxed Mo2Ru3 crystal from Alexandria. Energies are from PBE.

Cell: 11.3826 11.3826 11.3826 Å, 13.86 13.86 13.86°
Atoms (fractional coordinates):
Mo  0.0990  0.0990  0.0990
Mo  0.9010  0.9010  0.9010
Ru  0.2994  0.2994  0.2994
Ru  0.5000  0.5000  0.5000
Ru  0.7006  0.7006  0.7006

Output
For the energy relative to the elements, the calculation gives 0.131 eV/atom. The calculation puts the energy above the most stable polymorph in this dataset at 2.122 kcal/mol of atoms.

# 13
Here is a relaxed K2NaCuP crystal from Alexandria. Energies are from PBE.

Cell: 6.3896 6.3896 4.2645 Å, 90.00 90.00 90.00°
Atoms (fractional coordinates):
K  0.0000  0.5000  0.0000
K  0.5000  0.0000  0.0000
Na  0.0000  0.0000  0.5000
Cu  0.5000  0.5000  0.0000
P  0.5000  0.5000  0.5000

Output
For the energy relative to the elements, the calculation gives -0.053 eV/atom.

# 14
Here is a relaxed UTcOsC crystal from Alexandria. Energies are from PBE.

Cell: 4.0258 4.0315 4.1540 Å, 90.00 90.00 90.00°
Atoms (fractional coordinates):
U  0.0000  0.0000  0.0000
Tc  0.5000  0.5000  0.0000
Os  0.5000  0.0000  0.5000
C  0.5000  0.5000  0.5000

Output
For the energy relative to the elements, the calculation gives 0.273 eV/atom.

# 15
Here is a relaxed Rb3InRu crystal from Alexandria. Energies are from PBE.

Cell: 6.0738 6.0738 6.0738 Å, 90.00 90.00 90.00°
Atoms (fractional coordinates):
Rb  0.0000  0.0000  0.5000
Rb  0.0000  0.5000  0.0000
Rb  0.5000  0.0000  0.0000
In  0.5000  0.5000  0.5000
Ru  0.0000  0.0000  0.0000

Output
For the energy relative to the elements, the calculation gives 1.057 eV/atom. The calculation puts the energy above the most stable polymorph in this dataset at 0.000 kcal/mol of atoms.

# 16
Here is a relaxed LaCo4Sn12 crystal from Alexandria. Energies are from PBE.

Cell: 8.0002 8.0002 8.0002 Å, 109.47 109.47 109.47°
Atoms (fractional coordinates):
La  0.0000  0.0000  0.0000
Co  0.0000  0.0000  0.5000
Co  0.0000  0.5000  0.0000
Co  0.5000  0.0000  0.0000
Co  0.5000  0.5000  0.5000
Sn  0.1610  0.3326  0.8284
Sn  0.1716  0.5042  0.3326
Sn  0.1716  0.8390  0.6674
Sn  0.3326  0.1716  0.5042
Sn  0.3326  0.8284  0.1610
Sn  0.4958  0.6674  0.8284
Sn  0.5042  0.3326  0.1716
Sn  0.6674  0.1716  0.8390
Sn  0.6674  0.8284  0.4958
Sn  0.8284  0.1610  0.3326
Sn  0.8284  0.4958  0.6674
Sn  0.8390  0.6674  0.1716

Output
For the energy relative to the elements, the calculation gives -0.128 eV/atom.

# 17
Here is a relaxed Sr2PaMnS6 crystal from Alexandria. Energies are from PBE.

Cell: 6.8040 7.2249 11.7796 Å, 90.00 124.77 90.00°
Atoms (fractional coordinates):
Sr  0.2248  0.0773  0.2481
Sr  0.2248  0.4227  0.7481
Sr  0.7752  0.5773  0.2519
Sr  0.7752  0.9227  0.7519
Pa  0.5000  0.0000  0.0000
Pa  0.5000  0.5000  0.5000
Mn  0.0000  0.0000  0.5000
Mn  0.0000  0.5000  0.0000
S  0.1444  0.2008  0.9510
S  0.1444  0.2992  0.4510
S  0.2478  0.6910  0.9554
S  0.2478  0.8090  0.4554
S  0.3272  0.0177  0.7355
S  0.3272  0.4823  0.2354
S  0.6728  0.5177  0.7645
S  0.6728  0.9823  0.2646
S  0.7522  0.1910  0.5446
S  0.7522  0.3090  0.0446
S  0.8556  0.7008  0.5490
S  0.8556  0.7992  0.0490

Output
For the uncorrected formation energy, the calculation gives -148 kJ/mol of atoms.

# 18
Here is a relaxed SrGeF4 crystal from Alexandria. Energies are from PBE.

Cell: 4.2826 4.2826 5.7868 Å, 101.91 101.91 88.21°
Atoms (fractional coordinates):
Sr  0.0000  0.0000  0.0000
Ge  0.5980  0.5980  0.4598
F  0.1290  0.5690  0.2503
F  0.4050  0.8450  0.7449
F  0.5690  0.1290  0.2503
F  0.8450  0.4050  0.7449

Output
The calculation puts the energy above the most stable polymorph in this dataset at 0.000 kcal/mol of atoms. For the uncorrected formation energy, the calculation gives -284 kJ/mol of atoms.

# 19
Here is a relaxed Rb2YInCl6 crystal from Alexandria. Energies are from PBE.

Cell: 7.7070 8.1421 13.4140 Å, 90.00 124.45 90.00°
Atoms (fractional coordinates):
Rb  0.2237  0.0690  0.2478
Rb  0.2237  0.4310  0.7478
Rb  0.7763  0.5690  0.2522
Rb  0.7763  0.9310  0.7522
Y  0.5000  0.0000  0.0000
Y  0.5000  0.5000  0.5000
In  0.0000  0.0000  0.5000
In  0.0000  0.5000  0.0000
Cl  0.1708  0.1789  0.9500
Cl  0.1708  0.3211  0.4500
Cl  0.2669  0.7280  0.9378
Cl  0.2669  0.7720  0.4378
Cl  0.3824  0.0406  0.7731
Cl  0.3824  0.4594  0.2731
Cl  0.6176  0.5406  0.7269
Cl  0.6176  0.9594  0.2269
Cl  0.7331  0.2280  0.5622
Cl  0.7331  0.2720  0.0622
Cl  0.8292  0.6789  0.5500
Cl  0.8292  0.8211  0.0500

Output
The calculation puts the energy above the most stable polymorph in this dataset at 0.000 kcal/mol of atoms. For the uncorrected formation energy, the calculation gives -184 kJ/mol of atoms.

# 20
Here is a relaxed CsPaIrO6 crystal from Alexandria. Energies are from PBE.

Cell: 7.7253 7.7253 7.7253 Å, 122.85 117.59 89.67°
Atoms (fractional coordinates):
Cs  0.3661  0.1161  0.2500
Cs  0.6339  0.8839  0.7500
Pa  0.0000  0.5000  0.5000
Pa  0.5000  0.5000  0.0000
Ir  0.0000  0.0000  0.5000
Ir  0.0000  0.5000  0.0000
O  0.0489  0.7989  0.2500
O  0.0505  0.4211  0.2148
O  0.0505  0.8358  0.6295
O  0.2937  0.1642  0.7148
O  0.2937  0.5789  0.1295
O  0.3263  0.5763  0.7500
O  0.6737  0.4237  0.2500
O  0.7063  0.4211  0.8705
O  0.7063  0.8358  0.2852
O  0.9495  0.1642  0.3705
O  0.9495  0.5789  0.7852
O  0.9511  0.2011  0.7500

Output
For the uncorrected formation energy, the calculation gives -191 kJ/mol of atoms.

# 21
Here is a relaxed CaSN2O crystal from Alexandria. Energies are from PBE.

Cell: 4.7801 4.7801 5.6551 Å, 90.00 90.00 90.00°
Atoms (fractional coordinates):
Ca  0.0000  0.0000  0.0000
S  0.0000  0.0000  0.5000
N  0.0000  0.5000  0.0000
N  0.5000  0.0000  0.0000
O  0.5000  0.5000  0.5000

Output
For the uncorrected formation energy, the calculation gives 186 kJ/mol of atoms.

# 22
Here is a relaxed BaSr2Au2 crystal from Alexandria. Energies are from PBE.

Cell: 9.2658 9.2658 3.7699 Å, 90.00 90.00 90.00°
Atoms (fractional coordinates):
Ba  0.0000  0.0000  0.0000
Ba  0.5000  0.5000  0.0000
Sr  0.1326  0.3674  0.0000
Sr  0.3674  0.8674  0.0000
Sr  0.6326  0.1326  0.0000
Sr  0.8674  0.6326  0.0000
Au  0.1642  0.6642  0.5000
Au  0.3358  0.1642  0.5000
Au  0.6642  0.8358  0.5000
Au  0.8358  0.3358  0.5000

Output
For the energy relative to the elements, the calculation gives -0.464 eV/atom. The calculation puts the energy above the most stable polymorph in this dataset at 3.761 kcal/mol of atoms.

# 23
Here is a relaxed La2Pr2Sb2N crystal from Alexandria. Energies are from PBE.

Cell: 9.0949 9.0949 9.0949 Å, 148.53 148.53 45.10°
Atoms (fractional coordinates):
La  0.1623  0.1623  0.0000
La  0.8377  0.8377  0.0000
Pr  0.0000  0.5000  0.5000
Pr  0.5000  0.0000  0.5000
Sb  0.3597  0.3597  0.0000
Sb  0.6403  0.6403  0.0000
N  0.0000  0.0000  0.0000

Output
For the uncorrected formation energy, the calculation gives -104 kJ/mol of atoms.

# 24
Here is a relaxed CeBeOs crystal from Alexandria. Energies are from PBE.

Cell: 5.4119 5.4119 5.4119 Å, 146.02 146.02 48.82°
Atoms (fractional coordinates):
Ce  0.0000  0.0000  0.0000
Be  0.2942  0.2942  0.0000
Os  0.7271  0.7271  0.0000

Output
For the energy relative to the elements, the calculation gives -0.112 eV/atom. The calculation puts the energy above the most stable polymorph in this dataset at 1.802 kcal/mol of atoms.

Number 1: DOS(E_F) 5.859 states/eV per cell. Number 2: DOS(E_F) 2.937 states/eV per cell. Number 3: DOS(E_F) 2.153 states/eV per cell. Number 4: DOS(E_F) 3.227 states/eV per cell. Number 5: DOS(E_F) 2.867 states/eV per cell. Number 6: DOS(E_F) 3.823 states/eV per cell. Number 7: DOS(E_F) 0.000 states/eV per cell. Number 8: DOS(E_F) 8.700 states/eV per cell. Number 9: DOS(E_F) 3.243 states/eV per cell. Number 10: DOS(E_F) 15.780 states/eV per cell. Number 11: DOS(E_F) 2.343 states/eV per cell. Number 12: DOS(E_F) 7.008 states/eV per cell. Number 13: DOS(E_F) 1.950 states/eV per cell. Number 14: DOS(E_F) 5.036 states/eV per cell. Number 15: DOS(E_F) 4.446 states/eV per cell. Number 16: DOS(E_F) 17.602 states/eV per cell. Number 17: DOS(E_F) 5.366 states/eV per cell. Number 18: DOS(E_F) 0.000 states/eV per cell. Number 19: DOS(E_F) 0.000 states/eV per cell. Number 20: DOS(E_F) 9.011 states/eV per cell. Number 21: DOS(E_F) 2.699 states/eV per cell. Number 22: DOS(E_F) 9.363 states/eV per cell. Number 23: DOS(E_F) 8.141 states/eV per cell. Number 24: DOS(E_F) 2.939 states/eV per cell.